[1]
This record from the Alexandria database describes an optimized crystal structure of KNaSbAu. The functional is PBE-GGA.

## Properties
- energy relative to the elements, uncorrected (eV per atom) = -0.269
- V (Å³/f.u.) = 101.8
- total magnetic moment (μB/f.u.) = 0.00
- energy relative to the lowest polymorph listed for this composition (eV per formula unit) = 0.55

Cell: 7.4113 7.4113 7.4113 Å, 90.00 90.00 90.00°
Last column: nearest neighbours and their distance in Å.
Space group F-43m (No. 216)
Unique sites:
K (0.0000, 0.0000, 0.0000) [4 per cell]  4 Na 3.21, 4 Au 3.21
Na (0.2500, 0.2500, 0.7500) [4 per cell]  4 K 3.21, 4 Sb 3.21
Sb (0.0000, 0.0000, 0.5000) [4 per cell]  4 Na 3.21, 4 Au 3.21
Au (0.2500, 0.2500, 0.2500) [4 per cell]  4 K 3.21, 4 Sb 3.21

---

[2]
This record from the Alexandria database describes an optimized crystal structure of KNa2SbAu. The functional is PBE-GGA.

## Properties
- energy relative to the elements, uncorrected (eV per atom) = -0.235
- V (Å³/f.u.) = 172.3
- total magnetic moment (μB/f.u.) = 0.00

Cell: 5.6592 5.6592 5.3790 Å, 90.00 90.00 90.00°
Last column: nearest neighbours and their distance in Å.
Space group P4/mmm (No. 123)
Unique sites:
K (0.0000, 0.0000, 0.0000) [1 per cell]  8 Na 3.90, 4 Sb 4.00
Na (0.0000, 0.5000, 0.5000) [2 per cell]  2 Au 2.83
Sb (0.5000, 0.5000, 0.0000) [1 per cell]  2 Au 2.69
Au (0.5000, 0.5000, 0.5000) [1 per cell]  2 Sb 2.69, 4 Na 2.83

---

[3]
This record from the Alexandria database describes an optimized crystal structure of KNaScAu2. The functional is PBE-GGA.

## Properties
- ΔH_f (0 K) (eV per atom) = 0.90
- V (Å³/f.u.) = 169.9
- total magnetic moment (μB/f.u.) = 1.85

Cell: 5.6358 5.6358 5.3504 Å, 90.00 90.00 90.00°
Last column: nearest neighbours and their distance in Å.
Space group P4/mmm (No. 123)
Unique sites:
K (0.0000, 0.0000, 0.0000) [1 per cell]  2 Sc 2.68, 4 Au 2.82
Na (0.5000, 0.5000, 0.5000) [1 per cell]  8 Au 3.89, 4 Sc 3.99
Sc (0.0000, 0.0000, 0.5000) [1 per cell]  2 K 2.68
Au (0.0000, 0.5000, 0.0000) [2 per cell]  2 K 2.82